Record 1
# TlSb2Cl

A geometry-optimized TlSb2Cl structure (GGA-PBE, Alexandria via LeMat-Bulk).

Energy: -11.86 eV/cell
Relative energy among the computed polymorphs: 553 meV/atom
Formation energy (no corrections): 0.1493 eV per atom

Lattice parameters (Å, degrees): 5.5733 5.5733 3.4785 90.00 90.00 90.00
Last column: nearest neighbours and their distance in Å.
Atoms (fractional coordinates):
Tl: 0.0000 0.0000 0.0000  8 Sb 3.28, 2 Tl 3.48
Sb: 0.0000 0.5000 0.5000  4 Cl 3.28, 4 Tl 3.28, 2 Sb 3.48
Sb: 0.5000 0.0000 0.5000  4 Cl 3.28, 4 Tl 3.28, 2 Sb 3.48
Cl: 0.5000 0.5000 0.0000  8 Sb 3.28, 2 Cl 3.48

Record 2
# Rb4Ag2Hg5

A geometry-optimized Rb4Ag2Hg5 structure (GGA-PBE, Alexandria via LeMat-Bulk).

E_form: -0.1482 eV/atom
Energy: -12.71 eV/cell

Lattice parameters (Å, degrees): 8.5120 5.0981 9.8351 90.00 90.88 90.00
Last column: nearest neighbours and their distance in Å.
Atoms (fractional coordinates):
Rb: 0.2281 0.0000 0.1375  8 Hg 3.70-3.82, 2 Ag 3.70
Rb: 0.2445 0.0000 0.6175  4 Ag 3.75, 6 Hg 3.79-3.94
Rb: 0.7555 0.0000 0.3825  4 Ag 3.75, 6 Hg 3.79-3.94
Rb: 0.7719 0.0000 0.8625  8 Hg 3.70-3.82, 2 Ag 3.70
Ag: 0.0786 0.5000 0.3760  1 Ag 2.80, 2 Hg 2.91-2.92
Ag: 0.9214 0.5000 0.6240  1 Ag 2.80, 2 Hg 2.91-2.92
Hg: 0.1062 0.5000 0.8748  1 Ag 2.91, 1 Hg 3.08
Hg: 0.4209 0.5000 0.3558  1 Ag 2.92, 1 Hg 3.12
Hg: 0.5000 0.5000 0.0000  4 Hg 3.55-3.57, 4 Rb 3.71
Hg: 0.5791 0.5000 0.6442  1 Ag 2.92, 1 Hg 3.12
Hg: 0.8938 0.5000 0.1252  1 Ag 2.91, 1 Hg 3.08

The lowest energy belongs to which entry?
Rb4Ag2Hg5